VASP calculation (PBE) on Al3Si after structural relaxation.

## Properties
For the formation energy (no corrections), the calculation gives 135 meV/atom. As for the total moment: 0.000 Bohr magnetons per cell.

Unit cell a=2.859 b=2.859 c=9.053 alpha=90.00 beta=90.00 gamma=120.00
Sites, in units of the cell vectors:
Si 0.667 0.333 0.750
Al 0.000 0.000 0.992
Al 0.000 0.000 0.508
Al 0.667 0.333 0.250